# Sr2InPd

A relaxed structure of Sr2InPd (PBE, Alexandria via LeMat-Bulk).

Cell and atoms, written as extended XYZ:
```
8
Lattice="8.209 0.000 0.000 0.000 4.723 0.000 -2.715 0.000 7.674" Properties=species:S:1:pos:R:3 pbc="T T T"
Sr 0.000 0.000 0.000
Sr 0.002 0.000 4.012
Sr 4.105 2.361 0.000
Sr 4.107 2.361 4.012
In 2.733 0.000 2.001
In 6.838 2.361 2.001
Pd 1.360 2.361 2.028
Pd 5.465 0.000 2.028
```

Values from the calculation:
The value obtained for the energy of formation is -0.47 eV/atom. The symmetry is No. 8. Its raw total energy is -0.242 Ry per atom. The volume comes out at 37.2 A^3/atom.

=====

# Sr2In2Pd

A relaxed structure of Sr2In2Pd (PBE, Alexandria via LeMat-Bulk).

Cell and atoms, written as extended XYZ:
```
10
Lattice="5.966 -2.263 0.000 5.966 2.263 0.000 -4.846 0.000 11.177" Properties=species:S:1:pos:R:3 pbc="T T T"
Sr -0.683 0.000 1.845
Sr -0.717 0.000 6.935
Sr 7.803 0.000 4.242
Sr 7.769 0.000 9.332
In -0.790 0.000 10.559
In 2.712 0.000 6.885
In 4.374 0.000 4.292
In 7.876 0.000 0.618
Pd 2.784 0.000 1.963
Pd 4.303 0.000 9.214
```

Values from the calculation:
The value obtained for the energy of formation is -0.54 eV/atom. The symmetry is No. 12. Its raw total energy is -0.246 Ry per atom. The volume comes out at 30.2 A^3/atom. Its relative energy among the computed polymorphs is 0.000 eV/atom.

=====

# Sr2In5Pd4

A relaxed structure of Sr2In5Pd4 (PBE, Alexandria via LeMat-Bulk).

Cell and atoms, written as extended XYZ:
```
11
Lattice="0.000 5.125 8.546 3.037 0.000 8.546 3.037 5.125 0.000" Properties=species:S:1:pos:R:3 pbc="T T T"
Sr 3.037 5.125 2.344
Sr 3.037 5.125 14.749
In 1.519 2.562 0.000
In 1.519 2.562 4.273
In 1.519 2.562 8.546
In 3.037 5.125 8.546
In 4.556 7.687 12.819
Pd 3.037 3.541 6.333
Pd 3.037 3.541 10.759
Pd 3.037 6.709 6.333
Pd 3.037 6.709 10.759
```

Values from the calculation:
The value obtained for the energy of formation is -0.50 eV/atom. The symmetry is No. 69. Its raw total energy is -0.289 Ry per atom. The volume comes out at 24.2 A^3/atom.

=====

# Sr2InPd6

A relaxed structure of Sr2InPd6 (PBE, Alexandria via LeMat-Bulk).

Cell and atoms, written as extended XYZ:
```
9
Lattice="5.084 -2.963 0.000 5.084 2.963 0.000 -1.577 0.000 6.217" Properties=species:S:1:pos:R:3 pbc="T T T"
Sr 0.909 0.000 2.035
Sr 7.683 0.000 4.182
In 4.296 0.000 3.108
Pd 3.394 1.564 1.092
Pd 5.198 1.564 5.125
Pd 2.579 0.000 5.152
Pd 6.013 0.000 1.065
Pd 3.394 -1.564 1.092
Pd 5.198 -1.564 5.125
```

Values from the calculation:
The value obtained for the energy of formation is -0.53 eV/atom. The symmetry is No. 12. Its raw total energy is -0.343 Ry per atom. The volume comes out at 20.8 A^3/atom.

=====

# SrIn3Pd3

A relaxed structure of SrIn3Pd3 (PBE, Alexandria via LeMat-Bulk).

Cell and atoms, written as extended XYZ:
```
14
Lattice="7.375 0.000 0.000 0.000 7.375 0.000 0.000 0.000 7.375" Properties=species:S:1:pos:R:3 pbc="T T T"
Sr 0.000 0.000 0.000
Sr 3.687 3.687 3.687
In 0.000 1.844 3.687
In 0.000 5.531 3.687
In 1.844 3.687 0.000
In 3.687 0.000 1.844
In 3.687 0.000 5.531
In 5.531 3.687 0.000
Pd 0.000 3.687 1.844
Pd 0.000 3.687 5.531
Pd 1.844 0.000 3.687
Pd 3.687 1.844 0.000
Pd 3.687 5.531 0.000
Pd 5.531 0.000 3.687
```

Values from the calculation:
The value obtained for the energy of formation is -0.24 eV/atom. The symmetry is No. 223. Its raw total energy is -0.285 Ry per atom. The volume comes out at 28.6 A^3/atom. Its relative energy among the computed polymorphs is 0.255 eV/atom.

=====

# Sr2In6Pd3

A relaxed structure of Sr2In6Pd3 (PBE, Alexandria via LeMat-Bulk).

Cell and atoms, written as extended XYZ:
```
11
Lattice="8.304 0.000 0.000 -4.152 7.191 0.000 0.000 0.000 4.708" Properties=species:S:1:pos:R:3 pbc="T T T"
Sr 0.000 4.794 0.000
Sr 4.152 2.397 0.000
In -0.860 1.490 0.000
In -2.899 5.021 2.354
In 1.721 0.000 0.000
In 1.253 2.171 2.354
In 5.797 0.000 2.354
In 3.291 5.701 0.000
Pd -1.542 2.670 2.354
Pd 3.083 0.000 2.354
Pd 2.610 4.521 2.354
```

Values from the calculation:
The value obtained for the energy of formation is -0.50 eV/atom. The symmetry is No. 189. Its raw total energy is -0.273 Ry per atom. The volume comes out at 25.6 A^3/atom.

=====

# SrIn3Pd

A relaxed structure of SrIn3Pd (PBE, Alexandria via LeMat-Bulk).

Cell and atoms, written as extended XYZ:
```
5
Lattice="6.063 0.000 0.000 0.000 6.063 0.000 0.000 0.000 6.063" Properties=species:S:1:pos:R:3 pbc="T T T"
Sr 0.000 0.000 0.000
In 0.000 0.000 3.032
In 0.000 3.032 0.000
In 3.032 0.000 0.000
Pd 3.032 3.032 3.032
```

Values from the calculation:
The value obtained for the energy of formation is 1.09 eV/atom. The symmetry is No. 221. Its raw total energy is -0.142 Ry per atom. The volume comes out at 44.6 A^3/atom.

=====

# Sr2InPd

A relaxed structure of Sr2InPd (PBE, Alexandria via LeMat-Bulk).

Cell and atoms, written as extended XYZ:
```
4
Lattice="3.799 0.000 0.000 0.000 3.799 0.000 0.000 0.000 8.281" Properties=species:S:1:pos:R:3 pbc="T T T"
Sr 0.000 0.000 1.826
Sr 0.000 0.000 6.455
In 1.899 1.899 4.140
Pd 1.899 1.899 0.000
```

Values from the calculation:
The value obtained for the energy of formation is -0.46 eV/atom. The symmetry is No. 123. Its raw total energy is -0.241 Ry per atom. The volume comes out at 29.9 A^3/atom.